Entry from the Alexandria database: crystalline Ca2AuCl at its relaxed geometry (GGA-PBE).

E above lowest polymorph ... 0 meV per atom
Raw formation energy ... -470 kJ/mol of formula units
Calculated volume ... 27.5 Å³ per atom

Cell and atoms, written as CIF:
```
data_Ca2AuCl
_symmetry_space_group_name_H-M 'P 1 2/m 1'
_symmetry_Int_Tables_number 10
_symmetry_space_group_name_Hall '-P 2y'
_cell_length_a 3.8478
_cell_length_b 3.6275
_cell_length_c 7.8929
_cell_angle_alpha 90.00
_cell_angle_beta 90.24
_cell_angle_gamma 90.00
loop_
_atom_site_label
_atom_site_fract_x
_atom_site_fract_y
_atom_site_fract_z
Ca1 0.0013 0.0000 0.2161
Au1 0.5000 0.5000 0.0000
Cl1 0.0000 0.5000 0.5000
```